# AlVCl2 | Alexandria | GGA-PBE | optimized geometry
data_AlVCl2
_cell_length_a 6.8454
_cell_length_b 6.8454
_cell_length_c 6.8454
_cell_angle_alpha 90.00
_cell_angle_beta 90.00
_cell_angle_gamma 90.00
_symmetry_space_group_name_H-M 'F m -3 m'
_symmetry_Int_Tables_number 225
_symmetry_space_group_name_Hall '-F 4 2 3'
loop_
_atom_site_label
_atom_site_type_symbol
_atom_site_fract_x
_atom_site_fract_y
_atom_site_fract_z
Al1 Al 0.0000 0.0000 0.0000
V1 V 0.0000 0.0000 0.5000
Cl1 Cl 0.2500 0.2500 0.2500
# **Crystal system**: cubic
# **Uncorrected formation energy**: 0.0988 eV per atom
# **ΔE to the lowest computed polymorph**: 478 meV per atom
# **Total energy**: -4.0398 eV/atom